# 1
This record from Alexandria via LeMat-Bulk describes a geometry-optimized ErThSc3 structure. The functional is GGA-PBE.

Output
E_form: 0.42 eV/f.u.
Polymorph energy (0 for the lowest one): 0.211 eV/f.u.
VASP energy: -6.112 eV/atom

a = 19.4706 Å, b = 9.0806 Å, c = 6.1908 Å
α = 90.00°, β = 92.94°, γ = 90.00°
Space group C2/c (No. 15)
Unique sites:
Er  0.0000  0.1160  0.2500
Er  0.0000  0.2531  0.7500
Th  0.2273  0.4282  0.6449
Sc  0.0757  0.4449  0.3902
Sc  0.1324  0.0972  0.5849
Sc  0.1567  0.2479  0.0619

# 2
This record from Alexandria via LeMat-Bulk describes a geometry-optimized SrLu3Ir structure. The functional is GGA-PBE.

Output
E_form: -1.88 eV/f.u.
VASP energy: -5.197 eV/atom

a = 5.4116 Å, b = 5.4116 Å, c = 5.4116 Å
α = 90.00°, β = 90.00°, γ = 90.00°
Space group Pm-3m (No. 221)
Unique sites:
Sr  0.0000  0.0000  0.0000
Lu  0.0000  0.5000  0.5000
Ir  0.5000  0.5000  0.5000

# 3
This record from Alexandria via LeMat-Bulk describes a geometry-optimized DyTm3Pd3 structure. The functional is GGA-PBE.

Output
E_form: -5.15 eV/f.u.
Polymorph energy (0 for the lowest one): 0.000 eV/f.u.
VASP energy: -5.535 eV/atom

a = 9.7799 Å, b = 9.7799 Å, c = 5.9565 Å
α = 90.00°, β = 90.00°, γ = 120.00°
Space group R-3m (No. 166, hexagonal axes)
Unique sites:
Dy  0.0000  0.0000  0.0000
Tm  0.0000  0.5000  0.0000
Pd  0.0000  0.5000  0.5000